# PBE Pm3Sc2Ga4, optimized geometry
# Magnetization = 0.000 Bohr magnetons per cell
# Formation enthalpy at 0 K = -0.504 eV/atom
# VASP energy = -0.1779 hartree per atom
data_Pm3Sc2Ga4
_chemical_formula_sum 'Pm6 Sc4 Ga8'
_space_group_name_H-M_alt 'C 1 2/m 1'
_space_group_IT_number 12
_cell_length_a 11.5816
_cell_length_b 4.5182
_cell_length_c 9.2544
_cell_angle_alpha 90.00
_cell_angle_beta 116.18
_cell_angle_gamma 90.00
loop_
_space_group_symop_operation_xyz
'x,y,z'
'-x,-y,-z'
'-x,y,-z'
'x,-y,z'
'x+1/2,y+1/2,z'
'-x+1/2,-y+1/2,-z'
'-x+1/2,y+1/2,-z'
'x+1/2,-y+1/2,z'
loop_
_atom_site_label
_atom_site_fract_x
_atom_site_fract_y
_atom_site_fract_z
Pm1 0.0000 0.0000 0.0000
Pm2 0.1382 0.5000 0.6887
Sc1 0.1541 0.5000 0.3224
Ga1 0.0731 0.0000 0.4141
Ga2 0.2075 0.5000 0.0474